Entry 1:
A plane-wave DFT calculation with PBE was carried out for CsGe2Pt after structural relaxation.

Properties
* ΔE_f: -0.340 eV per atom
* total energy: -4.3724 eV/atom

CIF file:
```
data_CsGe2Pt
_cell_length_a 4.2626
_cell_length_b 4.2626
_cell_length_c 21.0782
_cell_angle_alpha 90.00
_cell_angle_beta 90.00
_cell_angle_gamma 120.00
_symmetry_space_group_name_H-M 'R -3 m'
_symmetry_Int_Tables_number 166
_symmetry_space_group_name_Hall '-R 3 2"'
loop_
_atom_site_label
_atom_site_type_symbol
_atom_site_fract_x
_atom_site_fract_y
_atom_site_fract_z
Cs1 Cs 0.0000 0.0000 0.0000
Ge1 Ge 0.0000 0.0000 0.2049
Pt1 Pt 0.0000 0.0000 0.5000
```


Entry 2:
A plane-wave DFT calculation with PBE was carried out for Cs2Ge7Pt12 after structural relaxation.

Properties
* ΔE_f: -0.284 eV per atom
* total energy: -5.3567 eV/atom

CIF file:
```
data_Cs2Ge7Pt12
_cell_length_a 10.5147
_cell_length_b 10.5147
_cell_length_c 4.0500
_cell_angle_alpha 90.00
_cell_angle_beta 90.00
_cell_angle_gamma 120.00
_symmetry_space_group_name_H-M 'P -6'
_symmetry_Int_Tables_number 174
loop_
_symmetry_equiv_pos_as_xyz
'x,y,z'
'-x+y,-x,-z'
'-y,x-y,z'
'x,y,-z'
'-x+y,-x,z'
'-y,x-y,-z'
loop_
_atom_site_label
_atom_site_type_symbol
_atom_site_fract_x
_atom_site_fract_y
_atom_site_fract_z
Cs1 Cs 0.0000 0.0000 0.0000
Cs2 Cs 0.3333 0.6667 0.5000
Ge1 Ge 0.0494 0.5959 0.0000
Ge2 Ge 0.2724 0.0271 0.5000
Ge3 Ge 0.6667 0.3333 0.0000
Pt1 Pt 0.0333 0.7473 0.5000
Pt2 Pt 0.1239 0.3841 0.0000
Pt3 Pt 0.3959 0.2044 0.0000
Pt4 Pt 0.5464 0.1222 0.5000
```


Entry 3:
A plane-wave DFT calculation with PBE was carried out for CsGe2Pt after structural relaxation.

Properties
* ΔE_f: -0.360 eV per atom
* total energy: -4.3926 eV/atom

CIF file:
```
data_CsGe2Pt
_cell_length_a 4.2304
_cell_length_b 7.2029
_cell_length_c 7.4271
_cell_angle_alpha 90.00
_cell_angle_beta 90.00
_cell_angle_gamma 90.00
_symmetry_space_group_name_H-M 'P m m n'
_symmetry_Int_Tables_number 59
loop_
_symmetry_equiv_pos_as_xyz
'x,y,z'
'-x,-y,-z'
'-x+1/2,-y+1/2,z'
'x+1/2,y+1/2,-z'
'x+1/2,-y,-z'
'-x+1/2,y,z'
'-x,y+1/2,-z'
'x,-y+1/2,z'
loop_
_atom_site_label
_atom_site_type_symbol
_atom_site_fract_x
_atom_site_fract_y
_atom_site_fract_z
Cs1 Cs 0.2500 0.2500 0.1091
Ge1 Ge 0.2500 0.0534 0.6234
Pt1 Pt 0.2500 0.7500 0.4351
```


Entry 4:
A plane-wave DFT calculation with PBE was carried out for CsGe2Pt after structural relaxation.

Properties
* ΔE_f: -0.101 eV per atom
* total energy: -4.1329 eV/atom

CIF file:
```
data_CsGe2Pt
_cell_length_a 3.4584
_cell_length_b 3.4584
_cell_length_c 8.2132
_cell_angle_alpha 90.00
_cell_angle_beta 90.00
_cell_angle_gamma 90.00
_symmetry_space_group_name_H-M 'P 4/m m m'
_symmetry_Int_Tables_number 123
_symmetry_space_group_name_Hall '-P 4 2'
loop_
_atom_site_label
_atom_site_type_symbol
_atom_site_fract_x
_atom_site_fract_y
_atom_site_fract_z
Cs1 Cs 0.0000 0.0000 0.0000
Ge1 Ge 0.5000 0.5000 0.3426
Pt1 Pt 0.0000 0.0000 0.5000
```